(1)
# PBE ReAsIr2, optimized geometry
# **Calculated density**: 17.20 g/cm³
# **Total DFT energy (no corrections)**: -8.200 eV/atom
# **Energy relative to the elements**: 0.5050 eV per atom
# **M_tot**: 0.000 Bohr magnetons per cell
data_ReAsIr2
_cell_length_a 2.7705
_cell_length_b 4.7904
_cell_length_c 9.3929
_cell_angle_alpha 90.00
_cell_angle_beta 90.00
_cell_angle_gamma 90.00
_symmetry_space_group_name_H-M 'C m m 2'
_symmetry_Int_Tables_number 35
loop_
_symmetry_equiv_pos_as_xyz
'x,y,z'
'-x,-y,z'
'-x,y,z'
'x,-y,z'
'x+1/2,y+1/2,z'
'-x+1/2,-y+1/2,z'
'-x+1/2,y+1/2,z'
'x+1/2,-y+1/2,z'
loop_
_atom_site_label
_atom_site_type_symbol
_atom_site_fract_x
_atom_site_fract_y
_atom_site_fract_z
Re1 Re 0.0000 0.0000 0.0000
As1 As 0.0000 0.5000 0.2677
Ir1 Ir 0.0000 0.0000 0.5069
Ir2 Ir 0.0000 0.5000 0.7632

(2)
# PBE GaHS4, optimized geometry
# **Calculated density**: 2.07 g/cm³
# **Total DFT energy (no corrections)**: -3.774 eV/atom
# **M_tot**: 0.000 Bohr magnetons per cell
data_GaHS4
_cell_length_a 5.5493
_cell_length_b 6.0775
_cell_length_c 9.6077
_cell_angle_alpha 87.65
_cell_angle_beta 85.97
_cell_angle_gamma 81.62
_symmetry_space_group_name_H-M 'P -1'
_symmetry_Int_Tables_number 2
loop_
_symmetry_equiv_pos_as_xyz
'x,y,z'
'-x,-y,-z'
loop_
_atom_site_label
_atom_site_type_symbol
_atom_site_fract_x
_atom_site_fract_y
_atom_site_fract_z
Ga1 Ga 0.1036 0.0271 0.2612
H1 H 0.3771 0.3231 0.7277
S1 S 0.2601 0.3352 0.6041
S2 S 0.2978 0.6983 0.1302
S3 S 0.3152 0.9616 0.9927
S4 S 0.4586 0.8304 0.5149

(3)
# PBE BeAl3N, optimized geometry
# **Calculated density**: 2.78 g/cm³
# **Total DFT energy (no corrections)**: -4.484 eV/atom
# **Formation energy from raw total energies**: 83 kJ/mol of formula units
# **M_tot**: 0.000 Bohr magnetons per cell
data_BeAl3N
_cell_length_a 3.9583
_cell_length_b 3.9583
_cell_length_c 3.9583
_cell_angle_alpha 90.00
_cell_angle_beta 90.00
_cell_angle_gamma 90.00
_symmetry_space_group_name_H-M 'P m -3 m'
_symmetry_Int_Tables_number 221
_symmetry_space_group_name_Hall '-P 4 2 3'
loop_
_atom_site_label
_atom_site_type_symbol
_atom_site_fract_x
_atom_site_fract_y
_atom_site_fract_z
Be1 Be 0.0000 0.0000 0.0000
Al1 Al 0.0000 0.5000 0.5000
N1 N 0.5000 0.5000 0.5000

(4)
# PBE CaReTe2, optimized geometry
# **Calculated density**: 7.97 g/cm³
# **Total DFT energy (no corrections)**: -5.161 eV/atom
# **Formation energy from raw total energies**: 9 kJ/mol of formula units
# **M_tot**: 0.000 Bohr magnetons per cell
data_CaReTe2
_cell_length_a 4.2325
_cell_length_b 5.8493
_cell_length_c 8.1035
_cell_angle_alpha 90.00
_cell_angle_beta 90.00
_cell_angle_gamma 90.00
_symmetry_space_group_name_H-M 'I m m m'
_symmetry_Int_Tables_number 71
_symmetry_space_group_name_Hall '-I 2 2'
loop_
_atom_site_label
_atom_site_type_symbol
_atom_site_fract_x
_atom_site_fract_y
_atom_site_fract_z
Ca1 Ca 0.0000 0.0000 0.0000
Re1 Re 0.0000 0.0000 0.5000
Te1 Te 0.0000 0.5000 0.2036